# 1
NdErSn: relaxed, GGA-PBE.

Properties
magnetization = 3.3 μB per cell
DOS(E_F) = 4.10 states/eV/f.u.
DFT formation energy = -0.591 eV per atom

abc: 8.230 4.527 9.774
angles: 90.00 90.00 90.00
Element x y z (fractional)
Nd (0.038, 0.250, 0.167)
Nd (0.462, 0.750, 0.667)
Nd (0.538, 0.250, 0.333)
Nd (0.962, 0.750, 0.833)
Er (0.133, 0.250, 0.568)
Er (0.367, 0.750, 0.068)
Er (0.633, 0.250, 0.932)
Er (0.867, 0.750, 0.432)
Sn (0.244, 0.750, 0.366)
Sn (0.256, 0.250, 0.866)
Sn (0.744, 0.750, 0.134)
Sn (0.756, 0.250, 0.634)

# 2
NdErSn: relaxed, GGA-PBE.

Properties
magnetization = 0.0 μB per cell
DOS(E_F) = 3.39 states/eV/f.u.
DFT formation energy = -0.405 eV per atom

abc: 9.040 9.040 9.040
angles: 33.28 33.28 33.28
Element x y z (fractional)
Nd (0.126, 0.126, 0.126)
Nd (0.874, 0.874, 0.874)
Er (0.375, 0.375, 0.375)
Er (0.625, 0.625, 0.625)
Sn (0.255, 0.255, 0.255)
Sn (0.745, 0.745, 0.745)

# 3
NdErSn2: relaxed, GGA-PBE.

Properties
magnetization = 0.0 μB per cell
DOS(E_F) = 2.90 states/eV/f.u.
DFT formation energy = -0.725 eV per atom

abc: 4.345 6.209 6.209
angles: 43.12 90.00 90.00
Element x y z (fractional)
Nd (0.000, 0.000, 0.000)
Er (0.500, 0.269, 0.269)
Sn (0.000, 0.727, 0.727)
Sn (0.500, 0.543, 0.543)

# 4
NdErSn: relaxed, GGA-PBE.

Properties
magnetization = 0.0 μB per cell
DOS(E_F) = 1.71 states/eV/f.u.
DFT formation energy = -0.373 eV per atom

abc: 5.153 5.153 3.926
angles: 90.00 90.00 120.00
Element x y z (fractional)
Nd (0.000, 0.000, 0.000)
Er (0.333, 0.667, 0.451)
Sn (0.667, 0.333, 0.631)

# 5
NdErSn2: relaxed, GGA-PBE.

Properties
magnetization = 0.0 μB per cell
DOS(E_F) = 3.34 states/eV/f.u.
DFT formation energy = -0.514 eV per atom

abc: 8.977 8.977 8.977
angles: 25.84 25.84 25.84
Element x y z (fractional)
Nd (0.000, 0.000, 0.000)
Er (0.500, 0.500, 0.500)
Sn (0.247, 0.247, 0.247)
Sn (0.753, 0.753, 0.753)

# 6
Nd3ErSn12: relaxed, GGA-PBE.

Properties
magnetization = 0.0 μB per cell
DOS(E_F) = 8.94 states/eV/f.u.
DFT formation energy = -0.474 eV per atom

abc: 4.776 4.776 18.846
angles: 90.00 90.00 90.00
Element x y z (fractional)
Nd (0.000, 0.000, 0.000)
Nd (0.000, 0.000, 0.252)
Nd (0.000, 0.000, 0.748)
Er (0.000, 0.000, 0.500)
Sn (0.000, 0.500, 0.126)
Sn (0.000, 0.500, 0.379)
Sn (0.000, 0.500, 0.621)
Sn (0.000, 0.500, 0.874)
Sn (0.500, 0.000, 0.126)
Sn (0.500, 0.000, 0.379)
Sn (0.500, 0.000, 0.621)
Sn (0.500, 0.000, 0.874)
Sn (0.500, 0.500, 0.000)
Sn (0.500, 0.500, 0.253)
Sn (0.500, 0.500, 0.500)
Sn (0.500, 0.500, 0.747)

# 7
Nd2ErSn3: relaxed, GGA-PBE.

Properties
magnetization = 0.0 μB per cell
DOS(E_F) = 3.41 states/eV/f.u.
DFT formation energy = -0.570 eV per atom

abc: 8.699 8.699 7.344
angles: 102.12 102.12 42.70
Element x y z (fractional)
Nd (0.166, 0.170, 0.084)
Nd (0.170, 0.166, 0.584)
Nd (0.830, 0.834, 0.416)
Nd (0.834, 0.830, 0.916)
Er (0.493, 0.507, 0.250)
Er (0.507, 0.493, 0.750)
Sn (0.008, 0.992, 0.750)
Sn (0.336, 0.340, 0.419)
Sn (0.340, 0.336, 0.919)
Sn (0.660, 0.664, 0.081)
Sn (0.664, 0.660, 0.581)
Sn (0.992, 0.008, 0.250)

# 8
Nd4ErSn: relaxed, GGA-PBE.

Properties
magnetization = 0.0 μB per cell
DOS(E_F) = 8.48 states/eV/f.u.
DFT formation energy = 0.063 eV per atom

abc: 12.103 12.103 6.810
angles: 90.00 90.00 153.84
Element x y z (fractional)
Nd (0.080, 0.920, 0.750)
Nd (0.201, 0.799, 0.503)
Nd (0.201, 0.799, 0.997)
Nd (0.354, 0.646, 0.750)
Nd (0.646, 0.354, 0.250)
Nd (0.799, 0.201, 0.003)
Nd (0.799, 0.201, 0.497)
Nd (0.920, 0.080, 0.250)
Er (0.064, 0.936, 0.250)
Er (0.936, 0.064, 0.750)
Sn (0.332, 0.668, 0.250)
Sn (0.668, 0.332, 0.750)

# 9
Nd5ErSn4: relaxed, GGA-PBE.

Properties
magnetization = 0.0 μB per cell
DOS(E_F) = 6.40 states/eV/f.u.
DFT formation energy = -0.546 eV per atom

abc: 8.721 8.721 7.276
angles: 90.76 90.76 36.10
Element x y z (fractional)
Nd (0.000, 0.000, 0.000)
Nd (0.333, 0.333, 0.493)
Nd (0.334, 0.334, 0.002)
Nd (0.666, 0.666, 0.998)
Nd (0.667, 0.667, 0.507)
Er (0.000, 0.000, 0.500)
Sn (0.173, 0.173, 0.748)
Sn (0.492, 0.492, 0.741)
Sn (0.508, 0.508, 0.259)
Sn (0.827, 0.827, 0.252)

# 10
Nd2Er3Sn4: relaxed, GGA-PBE.

Properties
magnetization = 0.0 μB per cell
DOS(E_F) = 6.63 states/eV/f.u.
DFT formation energy = -0.784 eV per atom

abc: 8.302 8.296 8.017
angles: 90.00 110.53 90.00
Element x y z (fractional)
Nd (0.192, 0.178, 0.062)
Nd (0.192, 0.322, 0.562)
Nd (0.808, 0.678, 0.438)
Nd (0.808, 0.822, 0.938)
Er (0.247, 0.667, 0.241)
Er (0.247, 0.833, 0.741)
Er (0.500, 0.000, 0.500)
Er (0.500, 0.500, 0.000)
Er (0.753, 0.167, 0.259)
Er (0.753, 0.333, 0.759)
Sn (0.083, 0.540, 0.841)
Sn (0.083, 0.960, 0.341)
Sn (0.490, 0.135, 0.863)
Sn (0.490, 0.365, 0.363)
Sn (0.510, 0.635, 0.637)
Sn (0.510, 0.865, 0.137)
Sn (0.917, 0.040, 0.659)
Sn (0.917, 0.460, 0.159)

# 11
Nd2Er3Sn4: relaxed, GGA-PBE.

Properties
magnetization = 0.0 μB per cell
DOS(E_F) = 4.73 states/eV/f.u.
DFT formation energy = -0.622 eV per atom

abc: 9.233 9.233 8.910
angles: 90.00 90.00 135.53
Element x y z (fractional)
Nd (0.111, 0.889, 0.911)
Nd (0.389, 0.611, 0.411)
Nd (0.611, 0.389, 0.589)
Nd (0.889, 0.111, 0.089)
Er (0.000, 0.000, 0.500)
Er (0.043, 0.457, 0.750)
Er (0.457, 0.043, 0.250)
Er (0.500, 0.500, 0.000)
Er (0.543, 0.957, 0.750)
Er (0.957, 0.543, 0.250)
Sn (0.186, 0.814, 0.555)
Sn (0.218, 0.282, 0.750)
Sn (0.282, 0.218, 0.250)
Sn (0.314, 0.686, 0.055)
Sn (0.686, 0.314, 0.945)
Sn (0.718, 0.782, 0.750)
Sn (0.782, 0.718, 0.250)
Sn (0.814, 0.186, 0.445)

# 12
Nd2ErSn2: relaxed, GGA-PBE.

Properties
magnetization = 0.0 μB per cell
DOS(E_F) = 4.54 states/eV/f.u.
DFT formation energy = -0.713 eV per atom

abc: 8.121 8.121 4.572
angles: 90.00 90.00 90.00
Element x y z (fractional)
Nd (0.171, 0.329, 0.000)
Nd (0.329, 0.829, 0.000)
Nd (0.671, 0.171, 0.000)
Nd (0.829, 0.671, 0.000)
Er (0.000, 0.000, 0.500)
Er (0.500, 0.500, 0.500)
Sn (0.131, 0.631, 0.500)
Sn (0.369, 0.131, 0.500)
Sn (0.631, 0.869, 0.500)
Sn (0.869, 0.369, 0.500)

# 13
Nd6ErSn10: relaxed, GGA-PBE.

Properties
magnetization = 0.0 μB per cell
DOS(E_F) = 11.55 states/eV/f.u.
DFT formation energy = -0.564 eV per atom

abc: 9.404 9.404 6.424
angles: 90.00 90.00 120.00
Element x y z (fractional)
Nd (0.000, 0.391, 0.267)
Nd (0.000, 0.609, 0.733)
Nd (0.391, 0.000, 0.267)
Nd (0.391, 0.391, 0.733)
Nd (0.609, 0.000, 0.733)
Nd (0.609, 0.609, 0.267)
Er (0.000, 0.000, 0.500)
Sn (0.000, 0.249, 0.815)
Sn (0.000, 0.751, 0.185)
Sn (0.249, 0.000, 0.815)
Sn (0.249, 0.249, 0.185)
Sn (0.333, 0.667, 0.000)
Sn (0.333, 0.667, 0.500)
Sn (0.667, 0.333, 0.000)
Sn (0.667, 0.333, 0.500)
Sn (0.751, 0.000, 0.185)
Sn (0.751, 0.751, 0.815)

# 14
NdErSn: relaxed, GGA-PBE.

Properties
magnetization = 0.0 μB per cell
DOS(E_F) = 4.33 states/eV/f.u.
DFT formation energy = 0.117 eV per atom

abc: 9.046 9.046 9.046
angles: 158.61 158.61 30.43
Element x y z (fractional)
Nd (0.000, 0.000, 0.000)
Er (0.804, 0.804, 0.000)
Sn (0.181, 0.181, 0.000)

# 15
Nd3Er2Sn2: relaxed, GGA-PBE.

Properties
magnetization = 0.0 μB per cell
DOS(E_F) = 8.37 states/eV/f.u.
DFT formation energy = -0.292 eV per atom

abc: 8.895 8.895 7.882
angles: 114.71 114.71 22.75
Element x y z (fractional)
Nd (0.000, 0.000, 0.000)
Nd (0.221, 0.221, 0.213)
Nd (0.779, 0.779, 0.787)
Er (0.088, 0.088, 0.700)
Er (0.912, 0.912, 0.300)
Sn (0.398, 0.398, 0.617)
Sn (0.602, 0.602, 0.383)

# 16
Nd3ErSn4: relaxed, GGA-PBE.

Properties
magnetization = 0.0 μB per cell
DOS(E_F) = 5.29 states/eV/f.u.
DFT formation energy = -0.563 eV per atom

abc: 9.661 9.661 9.661
angles: 155.92 136.73 50.12
Element x y z (fractional)
Nd (0.000, 0.000, 0.000)
Nd (0.295, 0.795, 0.500)
Nd (0.705, 0.205, 0.500)
Er (0.500, 0.500, 0.000)
Sn (0.078, 0.372, 0.706)
Sn (0.334, 0.628, 0.706)
Sn (0.666, 0.372, 0.294)
Sn (0.922, 0.628, 0.294)

# 17
Nd5Er2Sn5: relaxed, GGA-PBE.

Properties
magnetization = 0.5 μB per cell
DOS(E_F) = 7.63 states/eV/f.u.
DFT formation energy = -0.544 eV per atom

abc: 7.813 7.813 12.813
angles: 109.63 109.63 33.16
Element x y z (fractional)
Nd (0.000, 0.000, 0.000)
Nd (0.161, 0.161, 0.540)
Nd (0.226, 0.226, 0.843)
Nd (0.774, 0.774, 0.157)
Nd (0.839, 0.839, 0.460)
Er (0.449, 0.449, 0.712)
Er (0.551, 0.551, 0.288)
Sn (0.191, 0.191, 0.291)
Sn (0.385, 0.385, 0.075)
Sn (0.500, 0.500, 0.500)
Sn (0.615, 0.615, 0.925)
Sn (0.809, 0.809, 0.709)

# 18
NdErSn2: relaxed, GGA-PBE.

Properties
magnetization = 0.0 μB per cell
DOS(E_F) = 3.41 states/eV/f.u.
DFT formation energy = -0.627 eV per atom

abc: 4.898 4.898 4.525
angles: 90.00 90.00 90.00
Element x y z (fractional)
Nd (0.000, 0.000, 0.000)
Er (0.500, 0.500, 0.000)
Sn (0.000, 0.500, 0.500)
Sn (0.500, 0.000, 0.500)

# 19
Nd2Er2Sn7: relaxed, GGA-PBE.

Properties
magnetization = 0.0 μB per cell
DOS(E_F) = 9.91 states/eV/f.u.
DFT formation energy = -0.188 eV per atom

abc: 7.409 7.409 6.568
angles: 90.00 90.00 98.45
Element x y z (fractional)
Nd (0.189, 0.189, 0.000)
Nd (0.811, 0.811, 0.000)
Er (0.267, 0.733, 0.500)
Er (0.733, 0.267, 0.500)
Sn (0.000, 0.000, 0.500)
Sn (0.000, 0.500, 0.221)
Sn (0.000, 0.500, 0.779)
Sn (0.500, 0.000, 0.221)
Sn (0.500, 0.000, 0.779)
Sn (0.500, 0.500, 0.221)
Sn (0.500, 0.500, 0.779)

# 20
Nd9ErSn2: relaxed, GGA-PBE.

Properties
magnetization = 0.0 μB per cell
DOS(E_F) = 11.65 states/eV/f.u.
DFT formation energy = -0.281 eV per atom

abc: 4.985 4.985 15.303
angles: 90.00 90.00 90.00
Element x y z (fractional)
Nd (0.000, 0.000, 0.000)
Nd (0.000, 0.000, 0.339)
Nd (0.000, 0.000, 0.661)
Nd (0.000, 0.500, 0.175)
Nd (0.000, 0.500, 0.500)
Nd (0.000, 0.500, 0.825)
Nd (0.500, 0.000, 0.175)
Nd (0.500, 0.000, 0.500)
Nd (0.500, 0.000, 0.825)
Er (0.500, 0.500, 0.000)
Sn (0.500, 0.500, 0.338)
Sn (0.500, 0.500, 0.662)

# 21
Nd4Er3Sn4: relaxed, GGA-PBE.

Properties
magnetization = 0.0 μB per cell
DOS(E_F) = 9.30 states/eV/f.u.
DFT formation energy = -0.547 eV per atom

abc: 10.841 10.841 10.841
angles: 161.14 127.43 56.35
Element x y z (fractional)
Nd (0.013, 0.837, 0.176)
Nd (0.339, 0.163, 0.176)
Nd (0.661, 0.837, 0.824)
Nd (0.987, 0.163, 0.824)
Er (0.000, 0.500, 0.500)
Er (0.410, 0.410, 0.000)
Er (0.590, 0.590, 0.000)
Sn (0.278, 0.778, 0.500)
Sn (0.280, 0.000, 0.280)
Sn (0.720, 0.000, 0.720)
Sn (0.722, 0.222, 0.500)

# 22
Nd5ErSn3: relaxed, GGA-PBE.

Properties
magnetization = 5.2 μB per cell
DOS(E_F) = 10.00 states/eV/f.u.
DFT formation energy = -0.554 eV per atom

abc: 9.611 9.611 6.735
angles: 90.00 90.00 120.00
Element x y z (fractional)
Nd (0.000, 0.330, 0.250)
Nd (0.000, 0.670, 0.750)
Nd (0.330, 0.000, 0.250)
Nd (0.330, 0.330, 0.750)
Nd (0.333, 0.667, 0.000)
Nd (0.333, 0.667, 0.500)
Nd (0.667, 0.333, 0.000)
Nd (0.667, 0.333, 0.500)
Nd (0.670, 0.000, 0.750)
Nd (0.670, 0.670, 0.250)
Er (0.000, 0.000, 0.000)
Er (0.000, 0.000, 0.500)
Sn (0.000, 0.334, 0.750)
Sn (0.000, 0.666, 0.250)
Sn (0.334, 0.000, 0.750)
Sn (0.334, 0.334, 0.250)
Sn (0.666, 0.000, 0.250)
Sn (0.666, 0.666, 0.750)